Density functional theory data (PBE) for crystalline Ac2YScBi4 at its relaxed geometry.

Cell lengths 7.9986, 4.6450, 8.0393 Å; angles 90.00, 109.58, 90.00 degrees
Closest atoms and distances in Å follow each position.
Space group P2/m (No. 10)
Symmetry-distinct sites (fractional):
Ac 0.0000 0.0000 0.0000  6 Bi 3.38
Ac 0.0000 0.5000 0.5000  6 Bi 3.44
Y 0.5000 0.0000 0.5000  6 Bi 3.18-3.19
Sc 0.5000 0.5000 0.0000  6 Bi 3.12
Bi 0.2776 0.5000 0.2527  1 Sc 3.12, 2 Y 3.18, 3 Ac 3.38-3.44
Bi 0.2824 0.0000 0.7673  2 Sc 3.12, 1 Y 3.19, 3 Ac 3.38-3.44

formation energy = -0.8577 eV per atom
DOS at the Fermi energy = 0.1518 states/eV/atom
E_tot = -43.4 eV for the cell shown


Density functional theory data (PBE) for crystalline Ac4Y3ScBi8 at its relaxed geometry.

Cell lengths 9.3318, 9.3318, 22.7597 Å; angles 90.00, 90.00, 120.00 degrees
Closest atoms and distances in Å follow each position.
Space group R-3m (No. 166, hexagonal axes)
Symmetry-distinct sites (fractional):
Ac 0.0000 0.0000 0.0000  6 Bi 3.46
Ac 0.0000 0.5000 0.0000  6 Bi 3.40
Y 0.0000 0.5000 0.5000  6 Bi 3.20
Sc 0.0000 0.0000 0.5000  6 Bi 3.14
Bi 0.0000 0.0000 0.2424  3 Y 3.20, 3 Ac 3.40
Bi 0.0062 0.5031 0.2409  1 Sc 3.14, 2 Y 3.20, 3 Ac 3.40-3.46

formation energy = -0.8944 eV per atom
DOS at the Fermi energy = 0.2004 states/eV/atom
E_tot = -262.5 eV for the cell shown


Density functional theory data (PBE) for crystalline Ac3BiSe3 at its relaxed geometry.

Cell lengths 9.5353, 9.5353, 19.3429 Å; angles 90.00, 90.00, 120.00 degrees
Closest atoms and distances in Å follow each position.
Space group R-3 (No. 148, hexagonal axes)
Symmetry-distinct sites (fractional):
Ac 0.0139 0.6421 0.4190  4 Se 3.08-3.40, 2 Bi 3.39-3.45
Bi 0.0000 0.0000 0.1596  6 Ac 3.39-3.45, 3 Se 3.79
Se 0.0088 0.7240 0.5936  4 Ac 3.08-3.40

formation energy (no corrections) = -1.633 eV/atom
E_tot = -228.5 eV for the cell shown


Density functional theory data (PBE) for crystalline AcBiSe at its relaxed geometry.

Cell lengths 5.9833, 4.6287, 9.1841 Å; angles 90.00, 105.88, 90.00 degrees
Closest atoms and distances in Å follow each position.
Space group P2_1/m (No. 11)
Symmetry-distinct sites (fractional):
Ac 0.1837 0.2500 0.3418  4 Se 3.08-3.10
Bi 0.1486 0.2500 0.9571  2 Bi 3.15, 1 Ac 3.48
Se 0.2815 0.7500 0.5712  4 Ac 3.08-3.10

formation energy (no corrections) = -1.257 eV/atom
excess energy over the best structure of this formula in the dataset = 0.49 eV/f.u.
DOS at the Fermi energy = 0.0483 states/eV/atom
E_tot = -30.5 eV for the cell shown


Density functional theory data (PBE) for crystalline Ac6BiSe5 at its relaxed geometry.

Cell lengths 7.8496, 13.6038, 7.8905 Å; angles 90.00, 109.44, 90.00 degrees
Closest atoms and distances in Å follow each position.
Space group C2/m (No. 12)
Symmetry-distinct sites (fractional):
Ac 0.2399 0.0000 0.2567  5 Se 3.10-3.21, 1 Bi 3.32
Ac 0.2405 0.1724 0.7391  5 Se 3.15-3.22, 1 Bi 3.33
Bi 0.0000 0.5000 0.0000  6 Ac 3.32-3.33
Se 0.0000 0.0000 0.5000  6 Ac 3.10-3.20
Se 0.0000 0.1677 0.0000  6 Ac 3.21-3.22
Se 0.0000 0.3401 0.5000  6 Ac 3.15-3.21

formation energy (no corrections) = -1.710 eV/atom
DOS at the Fermi energy = 0.5410 states/eV/atom
E_tot = -133.0 eV for the cell shown


Density functional theory data (PBE) for crystalline Ac2BiSe5 at its relaxed geometry.

Cell lengths 8.2866, 12.3809, 4.4731 Å; angles 90.00, 90.00, 90.00 degrees
Closest atoms and distances in Å follow each position.
Space group Pbam (No. 55)
Symmetry-distinct sites (fractional):
Ac 0.0787 0.1708 0.0000  9 Se 3.15-3.46
Bi 0.0000 0.5000 0.5000  6 Se 2.91-2.94
Se 0.0000 0.0000 0.5000  4 Ac 3.15, 4 Se 3.39
Se 0.1467 0.7132 0.5000  1 Bi 2.91, 4 Ac 3.23-3.25
Se 0.2086 0.4361 0.0000  2 Bi 2.94

formation energy (no corrections) = -1.395 eV/atom
DOS at the Fermi energy = 0.4996 states/eV/atom
E_tot = -81.4 eV for the cell shown


Density functional theory data (PBE) for crystalline Ac6BiSe12 at its relaxed geometry.

Cell lengths 13.1976, 13.1976, 12.9878 Å; angles 90.00, 90.00, 120.00 degrees
Closest atoms and distances in Å follow each position.
Space group R-3 (No. 148, hexagonal axes)
Symmetry-distinct sites (fractional):
Ac 0.0438 0.7739 0.1334  7 Se 3.05-3.36
Bi 0.0000 0.0000 0.5000  6 Se 2.99
Se 0.0339 0.8158 0.8999  4 Ac 3.05-3.10
Se 0.0832 0.8625 0.3799  1 Se 2.94, 1 Bi 2.99, 2 Ac 3.23-3.27

formation energy (no corrections) = -1.570 eV/atom
DOS at the Fermi energy = 0.8589 states/eV/atom
E_tot = -300.5 eV for the cell shown


Density functional theory data (PBE) for crystalline AcBiSe at its relaxed geometry.

Cell lengths 4.4719, 4.4719, 19.3923 Å; angles 90.00, 90.00, 90.00 degrees
Closest atoms and distances in Å follow each position.
Space group I4/mmm (No. 139)
Symmetry-distinct sites (fractional):
Ac 0.0000 0.0000 0.1519  5 Se 3.15-3.23
Bi 0.0000 0.5000 0.0000  4 Bi 3.16
Se 0.0000 0.0000 0.3146  5 Ac 3.15-3.23

formation energy (no corrections) = -1.421 eV/atom
excess energy over the best structure of this formula in the dataset = 0.00 eV/f.u.
DOS at the Fermi energy = 0.3304 states/eV/atom
E_tot = -62.9 eV for the cell shown


Density functional theory data (PBE) for crystalline AcBiSe at its relaxed geometry.

Cell lengths 5.2515, 5.2515, 4.0144 Å; angles 90.00, 90.00, 120.00 degrees
Closest atoms and distances in Å follow each position.
Space group P3m1 (No. 156)
Symmetry-distinct sites (fractional):
Ac 0.0000 0.0000 0.0000  6 Se 3.62-3.65, 6 Bi 3.63-3.64, 2 Ac 4.01
Bi 0.6667 0.3333 0.5016  3 Se 3.03
Se 0.3333 0.6667 0.5079  3 Bi 3.03

formation energy (no corrections) = -0.749 eV/atom
excess energy over the best structure of this formula in the dataset = 2.02 eV/f.u.
DOS at the Fermi energy = 0.8932 states/eV/atom
E_tot = -13.7 eV for the cell shown


Density functional theory data (PBE) for crystalline Ac4Bi2Se at its relaxed geometry.

Cell lengths 5.7872, 5.7872, 17.5327 Å; angles 90.00, 90.00, 90.00 degrees
Closest atoms and distances in Å follow each position.
Space group I4/mmm (No. 139)
Symmetry-distinct sites (fractional):
Ac 0.0000 0.0000 0.1756  1 Se 3.08, 1 Bi 3.39
Ac 0.0000 0.5000 0.0000  2 Se 2.89
Bi 0.0000 0.0000 0.3689  5 Ac 3.39-3.70
Se 0.0000 0.0000 0.0000  6 Ac 2.89-3.08

formation energy (no corrections) = -0.745 eV/atom
DOS at the Fermi energy = 1.1883 states/eV/atom
E_tot = -65.8 eV for the cell shown


Density functional theory data (PBE) for crystalline Ac3BiSe6 at its relaxed geometry.

Cell lengths 12.8982, 12.8982, 15.1498 Å; angles 90.00, 90.00, 120.00 degrees
Closest atoms and distances in Å follow each position.
Space group R-3 (No. 148, hexagonal axes)
Symmetry-distinct sites (fractional):
Ac 0.0484 0.7793 0.2018  6 Se 3.09-3.16
Bi 0.0000 0.0000 0.0000  6 Se 2.92
Bi 0.0000 0.0000 0.5000  6 Se 2.97
Se 0.0233 0.8138 0.4013  1 Bi 2.97, 3 Ac 3.09-3.16
Se 0.0320 0.8410 0.8797  1 Bi 2.92, 3 Ac 3.09-3.14

formation energy (no corrections) = -1.586 eV/atom
excess energy over the best structure of this formula in the dataset = 0.15 eV/f.u.
DOS at the Fermi energy = 0.0000 states/eV/atom
E_tot = -317.8 eV for the cell shown


Density functional theory data (PBE) for crystalline AcBiSe at its relaxed geometry.

Cell lengths 4.0396, 4.0396, 12.3662 Å; angles 90.00, 90.00, 90.00 degrees
Closest atoms and distances in Å follow each position.
Space group I4mm (No. 107)
Symmetry-distinct sites (fractional):
Ac 0.0000 0.0000 0.0000  4 Se 3.11
Bi 0.0000 0.0000 0.2986  5 Ac 3.69-3.79, 5 Se 3.71-3.78, 4 Bi 4.04
Se 0.0000 0.0000 0.5988  4 Ac 3.11

formation energy (no corrections) = -0.958 eV/atom
excess energy over the best structure of this formula in the dataset = 1.39 eV/f.u.
DOS at the Fermi energy = 0.9676 states/eV/atom
E_tot = -28.7 eV for the cell shown